{
  "formula": "LaHfAg",
  "functional": "GGA-PBE",
  "state": "relaxed",
  "lattice": [[0.000, 3.430, 3.430], [3.430, 0.000, 3.430], [3.430, 3.430, 0.000]],
  "species": ["La", "Hf", "Ag"],
  "fractional_positions": [[0.000, 0.000, 0.000], [0.750, 0.750, 0.750], [0.500, 0.500, 0.500]],
  "formation_energy_ev_per_atom": 0.616,
  "total_energy_ev_per_cell": -15.88,
  "e_above_lowest_polymorph_ev_per_atom": 0.6505
}

{
  "formula": "Tb2PrLu",
  "functional": "GGA-PBE",
  "state": "relaxed",
  "lattice": [[1.788, 1.032, 11.648], [-1.788, 1.032, 11.648], [0.000, -2.065, 11.648]],
  "species": ["Tb", "Tb", "Pr", "Lu"],
  "fractional_positions": [[0.248, 0.248, 0.248], [0.752, 0.752, 0.752], [0.000, 0.000, 0.000], [0.500, 0.500, 0.500]],
  "formation_energy_ev_per_atom": 0.027,
  "total_energy_ev_per_cell": -18.45,
  "e_above_lowest_polymorph_ev_per_atom": 0.0032
}

{
  "formula": "Sc4OsPt3",
  "functional": "GGA-PBE",
  "state": "relaxed",
  "lattice": [[3.251, 0.000, 0.000], [0.000, 3.251, 0.000], [0.000, 0.000, 13.300]],
  "species": ["Sc", "Sc", "Sc", "Sc", "Os", "Pt", "Pt", "Pt"],
  "fractional_positions": [[0.000, 0.000, 0.118], [0.000, 0.000, 0.372], [0.000, 0.000, 0.628], [0.000, 0.000, 0.882], [0.500, 0.500, 0.000], [0.500, 0.500, 0.248], [0.500, 0.500, 0.500], [0.500, 0.500, 0.752]],
  "formation_energy_ev_per_atom": -1.074,
  "total_energy_ev_per_cell": -63.27
}

{
  "formula": "Al3Ru4",
  "functional": "GGA-PBE",
  "state": "relaxed",
  "lattice": [[-1.523, 1.523, 10.485], [1.523, -1.523, 10.485], [1.523, 1.523, -10.485]],
  "species": ["Al", "Al", "Al", "Ru", "Ru", "Ru", "Ru"],
  "fractional_positions": [[0.000, 0.000, 0.000], [0.288, 0.288, 0.000], [0.712, 0.712, 0.000], [0.151, 0.151, 0.000], [0.432, 0.432, 0.000], [0.568, 0.568, 0.000], [0.849, 0.849, 0.000]],
  "formation_energy_ev_per_atom": -0.331,
  "total_energy_ev_per_cell": -50.65,
  "e_above_lowest_polymorph_ev_per_atom": 0.0000
}